1.
This record from Alexandria describes a relaxed structure of PrDy2Y4. The functional is PBE.

Cell: 16.7561 3.5622 8.7993 Å, 90.00 119.37 90.00°
Last column: nearest neighbours and their distance in Å.
Atoms (fractional coordinates):
Pr 0.0000 0.0000 0.0000  2 Dy 3.37, 2 Pr 3.56, 4 Y 3.61
Pr 0.5000 0.5000 0.0000  2 Dy 3.37, 2 Pr 3.56, 4 Y 3.61
Dy 0.0701 0.0000 0.4302  1 Dy 3.14, 1 Y 3.32, 1 Pr 3.37
Dy 0.4299 0.5000 0.5698  1 Dy 3.14, 1 Y 3.32, 1 Pr 3.37
Dy 0.5701 0.5000 0.4302  1 Dy 3.14, 1 Y 3.32, 1 Pr 3.37
Dy 0.9299 0.0000 0.5698  1 Dy 3.14, 1 Y 3.32, 1 Pr 3.37
Y 0.1416 0.5000 0.8332  7 Y 3.56-3.81, 4 Dy 3.61, 2 Pr 3.79
Y 0.2058 0.5000 0.2944  3 Dy 3.32-3.53, 7 Y 3.56-3.71, 2 Pr 3.61
Y 0.2942 0.0000 0.7056  3 Dy 3.32-3.53, 7 Y 3.56-3.71, 2 Pr 3.61
Y 0.3584 0.0000 0.1668  7 Y 3.56-3.81, 4 Dy 3.61, 2 Pr 3.79
Y 0.6416 0.0000 0.8332  7 Y 3.56-3.81, 4 Dy 3.61, 2 Pr 3.79
Y 0.7058 0.0000 0.2944  3 Dy 3.32-3.53, 7 Y 3.56-3.71, 2 Pr 3.61
Y 0.7942 0.5000 0.7056  3 Dy 3.32-3.53, 7 Y 3.56-3.71, 2 Pr 3.61
Y 0.8584 0.5000 0.1668  7 Y 3.56-3.81, 4 Dy 3.61, 2 Pr 3.79

Output
space group	C2/m (12)
magnetic moment	0.00	μB/atom
N(E_F)	10.507	states/eV/f.u.
E_tot	-5.665	eV/atom
density	5961	kg/m³
ΔE_f	0.026	eV per atom



2.
This record from Alexandria describes a relaxed structure of CuTeN. The functional is PBE.

Cell: 6.3677 3.2576 4.5726 Å, 90.00 90.00 90.00°
Last column: nearest neighbours and their distance in Å.
Atoms (fractional coordinates):
Cu 0.0000 0.0000 0.0000  2 N 1.92
Cu 0.5000 0.0000 0.0000  2 N 1.92
Te 0.2500 0.5000 0.4377  2 N 2.21
Te 0.7500 0.5000 0.5623  2 N 2.21
N 0.2500 0.0000 0.7656  2 Cu 1.92
N 0.7500 0.0000 0.2344  2 Cu 1.92

Output
space group	Pmma (51)
magnetic moment	0.00	μB/atom
N(E_F)	0.829	states/eV/f.u.
ΔE_f (raw)	0.576	eV/atom
E_tot	-4.612	eV/atom
density	7183	kg/m³



3.
This record from Alexandria describes a relaxed structure of Sc2InPtC. The functional is PBE.

Cell: 4.5313 4.5313 4.1899 Å, 90.00 90.00 90.00°
Last column: nearest neighbours and their distance in Å.
Atoms (fractional coordinates):
Sc 0.0000 0.5000 0.0000  2 C 2.27
Sc 0.5000 0.0000 0.0000  2 C 2.27
In 0.0000 0.0000 0.5000  8 Sc 3.09, 4 Pt 3.20
Pt 0.5000 0.5000 0.5000  2 C 2.09
C 0.5000 0.5000 0.0000  2 Pt 2.09, 4 Sc 2.27

Output
space group	P4/mmm (123)
magnetic moment	0.00	μB/atom
N(E_F)	3.628	states/eV/f.u.
E_tot	-6.654	eV/atom
density	7949	kg/m³
ΔE_f	-0.521	eV per atom



4.
This record from Alexandria describes a relaxed structure of Al2ReMo. The functional is PBE.

Cell: 5.3545 8.2230 2.7394 Å, 90.00 90.00 90.00°
Last column: nearest neighbours and their distance in Å.
Atoms (fractional coordinates):
Al 0.2500 0.2500 0.0000  4 Al 2.68-2.74, 4 Mo 2.81, 4 Re 2.81
Al 0.2500 0.7500 0.0000  4 Al 2.68-2.74, 4 Mo 2.81, 4 Re 2.81
Al 0.7500 0.2500 0.0000  4 Al 2.68-2.74, 4 Mo 2.81, 4 Re 2.81
Al 0.7500 0.7500 0.0000  4 Al 2.68-2.74, 4 Mo 2.81, 4 Re 2.81
Re 0.0000 0.0000 0.5000  2 Mo 2.68, 2 Re 2.74, 8 Al 2.81
Re 0.5000 0.5000 0.5000  2 Mo 2.68, 2 Re 2.74, 8 Al 2.81
Mo 0.0000 0.5000 0.5000  2 Re 2.68, 2 Mo 2.74, 8 Al 2.81
Mo 0.5000 0.0000 0.5000  2 Re 2.68, 2 Mo 2.74, 8 Al 2.81

Output
space group	Cmmm (65)
magnetic moment	0.00	μB/atom
N(E_F)	3.728	states/eV/f.u.
E_tot	-7.681	eV/atom
density	9255	kg/m³
ΔE_f	0.010	eV per atom



5.
This record from Alexandria describes a relaxed structure of Sr2TePd2. The functional is PBE.

Cell: 5.9426 5.9426 8.0669 Å, 90.00 90.00 90.00°
Last column: nearest neighbours and their distance in Å.
Atoms (fractional coordinates):
Sr 0.0000 0.5000 0.2500  4 Pd 3.06
Sr 0.0000 0.5000 0.7500  4 Pd 3.06
Sr 0.5000 0.0000 0.2500  4 Pd 3.06
Sr 0.5000 0.0000 0.7500  4 Pd 3.06
Te 0.0000 0.0000 0.0000  2 Pd 2.74
Te 0.5000 0.5000 0.5000  2 Pd 2.74
Pd 0.0000 0.0000 0.3398  1 Pd 2.58, 1 Te 2.74
Pd 0.0000 0.0000 0.6602  1 Pd 2.58, 1 Te 2.74
Pd 0.5000 0.5000 0.1602  1 Pd 2.58, 1 Te 2.74
Pd 0.5000 0.5000 0.8398  1 Pd 2.58, 1 Te 2.74

Output
space group	I4/mmm (139)
magnetic moment	0.00	μB/atom
N(E_F)	0.000	states/eV/f.u.
ΔE_f (raw)	-0.797	eV/atom
E_tot	-4.175	eV/atom
density	6012	kg/m³



6.
This record from Alexandria describes a relaxed structure of Sc6GaTc2. The functional is PBE.

Cell: 7.9026 7.9026 7.9026 Å, 112.26 111.99 104.28°
Last column: nearest neighbours and their distance in Å.
Atoms (fractional coordinates):
Sc 0.0273 0.8341 0.1932  3 Tc 2.65-2.82
Sc 0.2489 0.5498 0.3009  2 Tc 2.65-2.92
Sc 0.2489 0.9479 0.6991  2 Tc 2.65-2.92
Sc 0.2754 0.3167 0.5921  3 Tc 2.73-2.83, 1 Ga 2.92
Sc 0.2754 0.6833 0.9587  3 Tc 2.73-2.83, 1 Ga 2.92
Sc 0.3590 0.1659 0.1932  3 Tc 2.65-2.82
Sc 0.6410 0.8341 0.8068  3 Tc 2.65-2.82
Sc 0.7246 0.3167 0.0413  3 Tc 2.73-2.83, 1 Ga 2.92
Sc 0.7246 0.6833 0.4079  3 Tc 2.73-2.83, 1 Ga 2.92
Sc 0.7511 0.0521 0.3009  2 Tc 2.65-2.92
Sc 0.7511 0.4502 0.6991  2 Tc 2.65-2.92
Sc 0.9727 0.1659 0.8068  3 Tc 2.65-2.82
Ga 0.0000 0.5000 0.5000  2 Tc 2.84, 8 Sc 2.92-2.98
Ga 0.5000 0.0000 0.5000  8 Sc 3.00-3.15
Tc 0.0000 0.1772 0.1772  8 Sc 2.65-2.82, 1 Ga 2.84
Tc 0.0000 0.8228 0.8228  8 Sc 2.65-2.82, 1 Ga 2.84
Tc 0.3750 0.3750 0.0000  1 Tc 2.42, 2 Sc 2.65
Tc 0.6250 0.6250 0.0000  1 Tc 2.42, 2 Sc 2.65

Output
space group	Immm (71)
magnetic moment	0.00	μB/atom
N(E_F)	10.408	states/eV/f.u.
E_tot	-7.125	eV/atom
density	4709	kg/m³
ΔE_f	-0.264	eV per atom